VASP calculation (PBE-GGA) on crystalline LaDyF6 at its relaxed geometry.

a b c (Å): 5.4997 5.4997 8.0725
angles (deg): 90.00 90.00 90.00
Sites, in units of the cell vectors:
La1 0.0000 0.0000 0.5000
La2 0.0000 0.0000 0.0000
Dy1 0.5000 0.5000 0.7500
Dy2 0.5000 0.5000 0.2500
F1 0.2042 0.2490 0.3161
F2 0.7958 0.7510 0.3161
F3 0.7510 0.2042 0.8161
F4 0.2490 0.7958 0.8161
F5 0.7958 0.7510 0.6839
F6 0.2042 0.2490 0.6839
F7 0.2490 0.7958 0.1839
F8 0.7510 0.2042 0.1839
F9 0.3390 0.6854 0.5000
F10 0.6610 0.3146 0.5000
F11 0.3146 0.3390 0.0000
F12 0.6854 0.6610 0.0000

## Properties
M_tot, μB per atom: 0.0000
Formation energy without anion corrections, eV/atom: -4.11

=====

VASP calculation (PBE-GGA) on crystalline La3DyF at its relaxed geometry.

a b c (Å): 5.2609 5.2609 5.2609
angles (deg): 90.00 90.00 90.00
Sites, in units of the cell vectors:
F1 0.0000 0.0000 0.0000
La1 0.0000 0.5000 0.0000
La2 0.0000 0.0000 0.5000
La3 0.5000 0.0000 0.0000
Dy1 0.5000 0.5000 0.5000

## Properties
M_tot, μB per atom: 0.0000
Formation energy without anion corrections, eV/atom: -1.02

=====

VASP calculation (PBE-GGA) on crystalline La2DyF8 at its relaxed geometry.

a b c (Å): 4.0810 5.3456 7.8451
angles (deg): 108.75 105.08 90.00
Site moments in Bohr magnetons follow the coordinates.
Sites, in units of the cell vectors:
La1 0.8218 0.2935 0.6437  0.39
La2 0.1782 0.7065 0.3563  0.39
Dy1 0.5000 0.0000 0.0000  0.01
F1 0.4037 0.5826 0.8074  0.00
F2 0.6447 0.9527 0.2893  0.00
F3 0.7799 0.7081 0.5597  0.00
F4 0.9753 0.1988 0.9506  0.00
F5 0.2201 0.2919 0.4403  0.00
F6 0.3553 0.0473 0.7107  0.00
F7 0.5963 0.4174 0.1926  0.00
F8 0.0247 0.8012 0.0494  0.00

## Properties
M_tot, μB per atom: 0.0910
Formation energy without anion corrections, eV/atom: -3.92